# 1
VASP calculation (GGA-PBE) on Ac2MgAl3Zn4 after structural relaxation.

```
Ac2MgAl3Zn4
1.0
4.4917 0.0000 0.0000
0.0000 4.4917 0.0000
0.0000 0.0000 10.9810
Ac Mg Al Zn
2 1 3 4
direct
0.0000 0.5000 0.2377
0.5000 0.0000 0.7623
0.0000 0.0000 0.5000
0.0000 0.5000 0.8746
0.5000 0.0000 0.1254
0.5000 0.5000 0.5000
0.0000 0.0000 0.0000
0.0000 0.5000 0.6397
0.5000 0.0000 0.3603
0.5000 0.5000 0.0000
```

Computed properties:
For the formation energy, the calculation gives -348 meV/atom. Its space group is No. 115.

# 2
VASP calculation (GGA-PBE) on Ac2Mg3AlZn4 after structural relaxation.

```
Ac2Mg3AlZn4
1.0
4.6741 0.0000 0.0000
0.0000 4.6741 0.0000
0.0000 0.0000 10.8147
Ac Mg Al Zn
2 3 1 4
direct
0.0000 0.5000 0.2479
0.5000 0.0000 0.7521
0.0000 0.5000 0.8747
0.5000 0.0000 0.1253
0.5000 0.5000 0.5000
0.0000 0.0000 0.5000
0.0000 0.0000 0.0000
0.0000 0.5000 0.6277
0.5000 0.0000 0.3723
0.5000 0.5000 0.0000
```

Computed properties:
For the formation energy, the calculation gives -203 meV/atom. Its space group is No. 115.

# 3
VASP calculation (GGA-PBE) on Ac2MgAl4Zn3 after structural relaxation.

```
Ac2MgAl4Zn3
1.0
4.4701 0.0000 0.0000
0.0000 4.4701 0.0000
0.0000 0.0000 11.1537
Ac Mg Al Zn
2 1 4 3
direct
0.0000 0.5000 0.2427
0.5000 0.0000 0.7573
0.0000 0.0000 0.5000
0.0000 0.0000 0.0000
0.0000 0.5000 0.6418
0.5000 0.0000 0.3582
0.5000 0.5000 0.0000
0.0000 0.5000 0.8721
0.5000 0.0000 0.1279
0.5000 0.5000 0.5000
```

Computed properties:
For the formation energy, the calculation gives -342 meV/atom. Its space group is No. 115.

# 4
VASP calculation (GGA-PBE) on AcMnAl2 after structural relaxation.

```
AcMnAl2
1.0
3.4031 0.0000 0.0000
0.0000 3.4031 0.0000
0.0000 0.0000 7.4598
Ac Mn Al
1 1 2
direct
0.0000 0.0000 0.0000
0.0000 0.0000 0.5000
0.5000 0.5000 0.3223
0.5000 0.5000 0.6777
```

Computed properties:
For the formation energy, the calculation gives -26 meV/atom. Its space group is No. 123.

For reference, M_tot by record: 0.00 0.00 0.00 3.19 μB/cell.